# 1
The following is a DFT calculation (GGA-PBEsol) of an optimized crystal structure of HfCo2P.

Cell lengths 3.797, 3.797, 15.501 Å; angles 90.00, 90.00, 90.00 degrees
Element x y z (fractional)
Hf: 0.000 0.000 0.000
Hf: 0.000 0.500 0.250
Hf: 0.500 0.000 0.750
Hf: 0.500 0.500 0.500
Co: 0.178 0.250 0.625
Co: 0.250 0.678 0.875
Co: 0.250 0.822 0.375
Co: 0.322 0.250 0.125
Co: 0.678 0.750 0.125
Co: 0.750 0.178 0.375
Co: 0.750 0.322 0.875
Co: 0.822 0.750 0.625
P: 0.000 0.000 0.500
P: 0.000 0.500 0.750
P: 0.500 0.000 0.250
P: 0.500 0.500 0.000

Calculated values
size of the total moment: 3.39 μB per cell
DFT total energy: -8.254 eV/atom
ΔH_f (0 K): -0.312 eV/atom

# 2
The following is a DFT calculation (GGA-PBEsol) of an optimized crystal structure of BaZnAs2Br.

Cell lengths 4.735, 4.735, 5.938 Å; angles 90.00, 90.00, 90.00 degrees
Element x y z (fractional)
Ba: 0.000 0.000 0.000
Zn: 0.500 0.500 0.500
As: 0.000 0.500 0.500
As: 0.500 0.000 0.500
Br: 0.500 0.500 0.000

Calculated values
size of the total moment: 0.00 μB per cell
DFT total energy: -3.669 eV/atom
E_form (uncorrected): -0.506 eV per atom

Among the records above, which one has the lowest DFT total energy?
HfCo2P

The highest DFT total energy belongs to which entry?
BaZnAs2Br